(1)
This record from Alexandria describes a geometry-optimized AcLa6SmY2 structure. The functional is PBE.

abc: 9.589 15.545 9.967
angles: 90.00 96.78 90.00
Space group C2/c (No. 15)
Symmetry-distinct sites (fractional):
Ac  0.000  0.032  0.250
La  0.069  0.177  0.945
La  0.094  0.390  0.121
La  0.221  0.227  0.316
Sm  0.000  0.409  0.750
Y  0.248  0.452  0.451

Output
Its formation energy from the elements is 10.3 kJ per mole of atoms. The density of states at the Fermi level is 61.3 states/eV/cell. The uncorrected energy comes out at -201.0 eV for the cell shown.

(2)
This record from Alexandria describes a geometry-optimized AcLa2Sm3Y6 structure. The functional is PBE.

abc: 6.346 10.991 11.951
angles: 90.00 100.18 90.00
Space group C2/m (No. 12)
Symmetry-distinct sites (fractional):
Ac  0.000  0.000  0.000
La  0.000  0.333  0.000
Sm  0.000  0.167  0.500
Sm  0.000  0.500  0.500
Y  0.247  0.333  0.745
Y  0.249  0.000  0.745

Output
Its formation energy from the elements is 1.9 kJ per mole of atoms. The density of states at the Fermi level is 29.4 states/eV/cell. The uncorrected energy comes out at -133.3 eV for the cell shown.

(3)
This record from Alexandria describes a geometry-optimized Ac2La3SmY6 structure. The functional is PBE.

abc: 6.423 11.124 12.023
angles: 90.00 100.25 90.00
Space group C2/m (No. 12)
Symmetry-distinct sites (fractional):
Ac  0.000  0.167  0.000
La  0.000  0.000  0.500
La  0.000  0.333  0.500
Sm  0.000  0.500  0.000
Y  0.247  0.500  0.747
Y  0.249  0.335  0.252

Output
Its formation energy from the elements is 2.0 kJ per mole of atoms. The density of states at the Fermi level is 27.1 states/eV/cell. The uncorrected energy comes out at -132.5 eV for the cell shown.

(4)
This record from Alexandria describes a geometry-optimized AcLaSm2Y structure. The functional is PBE.

abc: 6.498 5.973 9.951
angles: 90.00 108.88 90.00
Space group P2_1/m (No. 11)
Symmetry-distinct sites (fractional):
Ac  0.233  0.250  0.302
La  0.045  0.250  0.901
Sm  0.367  0.750  0.903
Sm  0.430  0.250  0.701
Y  0.165  0.750  0.502

Output
Its formation energy from the elements is 3.9 kJ per mole of atoms. The density of states at the Fermi level is 17.1 states/eV/cell. The uncorrected energy comes out at -49.5 eV for the cell shown.

(5)
This record from Alexandria describes a geometry-optimized AcLaSmY2 structure. The functional is PBE.

abc: 6.468 5.945 9.924
angles: 90.00 108.68 90.00
Space group P2_1/m (No. 11)
Symmetry-distinct sites (fractional):
Ac  0.070  0.250  0.304
La  0.136  0.750  0.097
Sm  0.336  0.750  0.502
Y  0.278  0.250  0.706
Y  0.468  0.250  0.098

Output
Its formation energy from the elements is 3.6 kJ per mole of atoms. The density of states at the Fermi level is 17.5 states/eV/cell. The uncorrected energy comes out at -53.0 eV for the cell shown.

(6)
This record from Alexandria describes a geometry-optimized AcLa3SmY structure. The functional is PBE.

abc: 8.276 5.323 10.633
angles: 90.00 108.66 90.00
Space group P2_1/m (No. 11)
Symmetry-distinct sites (fractional):
Ac  0.171  0.250  0.292
La  0.171  0.750  0.040
La  0.171  0.750  0.545
La  0.173  0.250  0.793
Sm  0.498  0.250  0.627
Y  0.498  0.750  0.877

Output
Its formation energy from the elements is 2.9 kJ per mole of atoms. The density of states at the Fermi level is 23.1 states/eV/cell. The uncorrected energy comes out at -59.8 eV for the cell shown.